Record 1
BiHPt2 | PBE | relaxed

Cell: 6.3040 6.3040 6.4335 Å, 90.00 90.00 90.00°
With the nearest neighbours (Å) after each atom.
Space group I-42d (No. 122)
Unique sites:
Bi 0.0000 0.0000 0.0000 (multiplicity 4)  8 Pt 2.94-3.10, 2 H 3.22
H 0.0000 0.0000 0.5000 (multiplicity 4)  4 Pt 1.87
Pt 0.0958 0.2500 0.6250 (multiplicity 8)  2 H 1.87

Values from the calculation:
Final energy ... -4.854 eV/atom

Record 2
SmTmTl2S4 | PBE | relaxed

Cell: 7.0206 4.0501 7.8725 Å, 90.00 107.26 90.00°
With the nearest neighbours (Å) after each atom.
Space group P2/m (No. 10)
Unique sites:
Sm 0.0000 0.0000 0.0000 (multiplicity 1)  6 S 2.81-2.82
Tm 0.5000 0.5000 0.0000 (multiplicity 1)  6 S 2.73-2.74
Tl 0.0000 0.5000 0.5000 (multiplicity 1)  6 S 3.29
Tl 0.5000 0.0000 0.5000 (multiplicity 1)  6 S 3.23
S 0.2414 0.5000 0.2002 (multiplicity 2)  1 Tm 2.73, 2 Sm 2.81
S 0.2758 0.0000 0.8033 (multiplicity 2)  2 Tm 2.74, 1 Sm 2.82

Values from the calculation:
Final energy ... -5.278 eV/atom

Record 3
TlSiPb2Br | PBE | relaxed

Cell: 5.7145 5.7145 5.8297 Å, 90.00 90.00 90.00°
With the nearest neighbours (Å) after each atom.
Space group P4/mmm (No. 123)
Unique sites:
Tl 0.0000 0.0000 0.0000 (multiplicity 1)  2 Br 2.91
Si 0.5000 0.5000 0.0000 (multiplicity 1)  4 Tl 4.04, 8 Pb 4.08
Pb 0.0000 0.5000 0.5000 (multiplicity 2)  2 Br 2.86
Br 0.0000 0.0000 0.5000 (multiplicity 1)  4 Pb 2.86, 2 Tl 2.91

Values from the calculation:
Final energy ... -2.676 eV/atom

Record 4
Nd3TaO7 | PBE | relaxed

Cell: 7.6938 10.9228 7.7428 Å, 90.00 90.00 90.00°
With the nearest neighbours (Å) after each atom.
Space group Cmcm (No. 63)
Unique sites:
Nd 0.0000 0.0000 0.0000 (multiplicity 4)  4 O 2.40-2.43
Nd 0.2328 0.2680 0.2500 (multiplicity 8)  6 O 2.30-2.49
Ta 0.0000 0.5000 0.0000 (multiplicity 4)  6 O 2.00-2.03
O 0.0000 0.1294 0.7500 (multiplicity 4)  4 Nd 2.34-2.40
O 0.0000 0.1352 0.2500 (multiplicity 4)  4 Nd 2.30-2.43
O 0.0000 0.4428 0.2500 (multiplicity 4)  2 Ta 2.03
O 0.1911 0.3776 0.5296 (multiplicity 16)  1 Ta 2.00

Values from the calculation:
Final energy ... -8.836 eV/atom

Record 5
Cs6PbF8 | PBE | relaxed

Cell: 8.7317 8.7317 18.0694 Å, 90.00 90.00 120.00°
With the nearest neighbours (Å) after each atom.
Space group R-3 (No. 148, hexagonal axes)
Unique sites:
Cs 0.0224 0.6129 0.4134 (multiplicity 18)  6 F 2.97-3.23
Pb 0.0000 0.0000 0.5000 (multiplicity 3)  6 F 2.50
F 0.0000 0.0000 0.1654 (multiplicity 6)  6 Cs 2.97-3.23
F 0.0107 0.7712 0.5796 (multiplicity 18)  1 Pb 2.50

Values from the calculation:
Final energy ... -4.161 eV/atom

Record 6
Sm3Mg2Sc | PBE | relaxed

Cell: 3.7750 3.7750 12.1066 Å, 90.00 90.00 90.00°
With the nearest neighbours (Å) after each atom.
Space group P4/mmm (No. 123)
Unique sites:
Sm 0.0000 0.0000 0.0000 (multiplicity 1)  8 Mg 3.32
Sm 0.0000 0.0000 0.3270 (multiplicity 2)  4 Mg 3.32, 4 Sc 3.39
Mg 0.5000 0.5000 0.1637 (multiplicity 2)  8 Sm 3.32
Sc 0.5000 0.5000 0.5000 (multiplicity 1)  8 Sm 3.39, 4 Sc 3.77

Values from the calculation:
Final energy ... -3.981 eV/atom
E_form ... -0.034 eV per atom

Record 7
Ag3C | PBE | relaxed

Cell: 3.9661 3.9661 4.0005 Å, 90.00 90.00 90.00°
With the nearest neighbours (Å) after each atom.
Space group P4/mmm (No. 123)
Unique sites:
Ag 0.0000 0.0000 0.0000 (multiplicity 1)  4 C 2.80, 8 Ag 2.82
Ag 0.0000 0.5000 0.5000 (multiplicity 2)  8 Ag 2.80-2.82, 4 C 2.82
C 0.5000 0.5000 0.0000 (multiplicity 1)  12 Ag 2.80-2.82

Values from the calculation:
Final energy ... -3.060 eV/atom
E_form ... 1.384 eV per atom

Record 8
CaBeRh3 | PBE | relaxed

Cell: 4.2755 4.2755 4.2755 Å, 90.00 90.00 90.00°
With the nearest neighbours (Å) after each atom.
Space group Pm-3m (No. 221)
Unique sites:
Ca 0.0000 0.0000 0.0000 (multiplicity 1)  12 Rh 3.02
Be 0.5000 0.5000 0.5000 (multiplicity 1)  6 Rh 2.14
Rh 0.0000 0.5000 0.5000 (multiplicity 3)  2 Be 2.14

Values from the calculation:
Final energy ... -5.772 eV/atom
E_form ... -0.216 eV per atom

Record 9
NbPSCl2 | PBE | relaxed

Cell: 4.9636 4.9636 4.8106 Å, 90.00 90.00 90.00°
With the nearest neighbours (Å) after each atom.
Space group P4/mmm (No. 123)
Unique sites:
Nb 0.0000 0.0000 0.0000 (multiplicity 1)  2 S 2.41, 4 Cl 2.48
P 0.5000 0.5000 0.5000 (multiplicity 1)  8 Cl 3.46, 4 S 3.51
S 0.0000 0.0000 0.5000 (multiplicity 1)  2 Nb 2.41
Cl 0.0000 0.5000 0.0000 (multiplicity 2)  2 Nb 2.48

Values from the calculation:
Final energy ... -4.625 eV/atom

Record 10
CoAuSe2 | PBE | relaxed

Cell: 6.4155 8.2801 6.1901 Å, 90.00 90.00 90.00°
With the nearest neighbours (Å) after each atom.
Space group Pna2_1 (No. 33)
Unique sites:
Co 0.0956 0.0889 0.0000 (multiplicity 4)  4 Se 2.25-2.33
Au 0.0385 0.4130 0.5608 (multiplicity 4)  3 Se 2.48-2.74
Se 0.1079 0.7045 0.6162 (multiplicity 4)  2 Co 2.25-2.27, 1 Au 2.48
Se 0.1184 0.1156 0.6322 (multiplicity 4)  2 Co 2.29-2.33, 1 Au 2.55

Values from the calculation:
Final energy ... -4.346 eV/atom

Record 11
KCr2Pb | PBE | relaxed

Cell: 5.7079 5.7079 18.9771 Å, 90.00 90.00 90.00°
With the nearest neighbours (Å) after each atom.
Space group I-42d (No. 122)
Unique sites:
K 0.0000 0.0000 0.0000 (multiplicity 4)  8 Cr 3.97-3.98, 4 Pb 4.04
Cr 0.0009 0.2500 0.6250 (multiplicity 8)  2 Pb 2.77, 2 Cr 2.85
Pb 0.0000 0.0000 0.5000 (multiplicity 4)  4 Cr 2.77

Values from the calculation:
Final energy ... -5.048 eV/atom
E_form ... 0.965 eV per atom

Record 12
Mg3Ga5I12 | PBE | relaxed

Cell: 18.5518 18.5518 18.5518 Å, 90.00 90.00 90.00°
With the nearest neighbours (Å) after each atom.
Space group Ia-3d (No. 230)
Unique sites:
Mg 0.0000 0.2500 0.1250 (multiplicity 24)  4 I 3.11
Ga 0.0000 0.0000 0.0000 (multiplicity 16)  6 I 3.18
Ga 0.0000 0.2500 0.3750 (multiplicity 24)  4 I 3.10
I 0.0249 0.0855 0.6467 (multiplicity 96)  2 Ga 3.10-3.18, 1 Mg 3.11

Values from the calculation:
Final energy ... -2.279 eV/atom

Q: Which formula does entry 11 have?
A: KCr2Pb